Pm3Y2Cd, relaxed, DFT GGA-PBE; symmetry = Cmcm; V = 31.14 Å³ per atom; ΔE_f = -0.0238 eV per atom
1.0
11.465 0.000 0.000
0.000 6.121 -0.271
0.000 -2.804 5.448
Y Cd Pm
4 2 6
direct
0.220 0.500 0.838
0.720 0.162 0.500
0.220 0.838 0.500
0.720 0.500 0.162
0.220 0.172 0.172
0.720 0.828 0.828
0.970 0.160 0.840
0.470 0.840 0.160
0.970 0.500 0.500
0.970 0.840 0.160
0.470 0.160 0.840
0.470 0.500 0.500